(1)
8
Lattice="5.780 0.000 0.000 0.000 5.780 0.000 2.890 2.890 5.725" Properties=species:S:1:pos:R:3 comment="Co2BiTe | the Alexandria database | GGA-PBE | relaxed" total_energy_ev_per_atom=-4.8856 crystal_system=tetragonal volume_a3_per_cell=191.3 sg="No. 122" pbc="T T T"
Bi 5.780 2.890 2.862
Bi 0.000 0.000 0.000
Te 2.890 2.890 0.000
Te 2.890 5.780 2.862
Co 1.558 4.335 1.431
Co 4.335 4.448 4.294
Co 7.225 7.113 4.294
Co 4.223 1.445 1.431


(2)
6
Lattice="8.428 0.000 0.000 0.000 8.428 0.000 -4.214 -4.214 8.385" Properties=species:S:1:pos:R:3 comment="CsK2Rb2Na | the Alexandria database | GGA-PBE | relaxed" total_energy_ev_per_atom=-0.8711 crystal_system=tetragonal delta_e_f_mev_per_atom=179 volume_a3_per_cell=595.6 sg="No. 139" pbc="T T T"
Rb 4.214 0.000 4.192
Rb 0.000 4.214 4.192
Na 0.000 0.000 0.000
K 0.000 0.000 3.691
K 4.214 4.214 4.694
Cs 4.214 4.214 0.000


(3)
5
Lattice="4.426 0.000 0.000 0.000 4.426 0.000 0.000 0.000 4.426" Properties=species:S:1:pos:R:3 comment="GeW3Cl | the Alexandria database | GGA-PBE | relaxed" total_energy_ev_per_atom=-7.3744 crystal_system=cubic volume_a3_per_cell=86.7 sg="No. 221" pbc="T T T"
Cl 0.000 0.000 0.000
W 0.000 0.000 2.213
W 2.213 0.000 0.000
W 0.000 2.213 0.000
Ge 2.213 2.213 2.213


(4)
4
Lattice="-1.053 2.690 3.520 -4.265 -1.811 0.109 3.794 -8.475 7.611" Properties=species:S:1:pos:R:3 comment="K3I | the Alexandria database | GGA-PBE | relaxed" total_energy_ev_per_atom=-1.8642 crystal_system=orthorhombic volume_a3_per_cell=253.4 sg="No. 25" pbc="T T T"
K 2.345 -5.069 7.521
K -0.359 -4.867 3.612
K -2.219 -0.542 2.696
I 3.768 -8.418 7.560


(5)
18
Lattice="-1.105 5.355 0.920 -8.293 -1.262 -2.610 -2.312 -1.896 8.261" Properties=species:S:1:pos:R:3 comment="PmEr4Ru4 | the Alexandria database | GGA-PBE | relaxed" total_energy_ev_per_atom=-6.7515 crystal_system=tetragonal delta_e_f_mev_per_atom=-73 volume_a3_per_cell=428.0 sg="No. 86" pbc="T T T"
Er -7.670 2.432 6.069
Er -7.902 -1.194 1.447
Er -5.200 -0.110 7.124
Er -9.894 0.864 3.787
Er -2.079 2.610 3.003
Er -4.880 3.844 1.202
Er -6.246 1.030 -0.772
Er -2.967 -0.687 4.423
Ru -7.403 -0.250 5.045
Ru -5.199 2.688 7.301
Ru -7.335 3.509 -0.043
Ru -9.057 -1.810 3.891
Ru -1.828 0.007 1.992
Ru -7.918 1.683 1.638
Ru -4.027 1.091 1.293
Ru -4.072 1.870 5.165
Pm 0.000 0.000 0.000
Pm -5.855 1.099 3.285


(6)
7
Lattice="-4.268 0.438 2.764 -4.469 -1.511 -1.949 -1.679 -8.031 3.392" Properties=species:S:1:pos:R:3 comment="Dy4Hg2Pt | the Alexandria database | GGA-PBE | relaxed" total_energy_ev_per_atom=-4.1195 crystal_system=trigonal delta_e_f_mev_per_atom=-541 volume_a3_per_cell=188.9 sg="No. 166" pbc="T T T"
Pt 0.000 0.000 0.000
Dy -8.295 -3.823 1.934
Dy -5.686 -1.577 0.894
Dy -4.730 -7.527 3.313
Dy -2.121 -5.280 2.273
Hg -7.843 -6.636 3.077
Hg -2.573 -2.467 1.129


(7)
5
Lattice="-0.828 -4.861 1.524 3.517 -1.662 -3.392 3.387 0.454 3.289" Properties=species:S:1:pos:R:3 comment="NaP2SI | the Alexandria database | GGA-PBE | relaxed" total_energy_ev_per_atom=-2.2530 crystal_system=tetragonal volume_a3_per_cell=126.3 sg="No. 123" pbc="T T T"
S 1.694 0.227 1.644
I 3.038 -3.034 0.710
P 1.758 -0.831 -1.696
P -0.414 -2.431 0.762
Na 0.000 0.000 0.000


(8)
22
Lattice="3.557 0.000 0.000 -1.778 7.941 0.000 0.000 0.000 9.380" Properties=species:S:1:pos:R:3 comment="Tb3TcB7 | the Alexandria database | GGA-PBE | relaxed" total_energy_ev_per_atom=-7.0614 crystal_system=orthorhombic delta_e_f_mev_per_atom=-607 volume_a3_per_cell=265.0 sg="No. 63" pbc="T T T"
B 1.778 0.337 5.592
B 1.778 0.647 2.345
B 0.000 5.849 3.274
B 0.000 7.604 0.902
B 0.000 5.849 1.416
B 0.000 4.341 4.381
B 0.000 7.294 7.035
B 1.778 2.092 6.106
B 1.778 3.600 5.000
B 1.778 2.092 7.965
B 0.000 4.341 0.309
B 1.778 0.337 8.479
B 0.000 7.604 3.788
B 1.778 3.600 9.071
Tb 1.778 6.278 8.815
Tb 1.778 6.278 5.255
Tb 0.000 1.663 4.125
Tb 0.000 1.663 0.565
Tb 1.778 4.110 2.345
Tb 0.000 3.831 7.035
Tc 0.000 0.853 7.035
Tc 1.778 7.088 2.345


(9)
4
Lattice="5.269 0.003 0.018 4.344 2.983 0.018 1.807 0.561 3.945" Properties=species:S:1:pos:R:3 comment="ScTc2Ru | the Alexandria database | GGA-PBE | relaxed" total_energy_ev_per_atom=-9.1723 crystal_system=orthorhombic delta_e_f_mev_per_atom=-87 volume_a3_per_cell=61.8 sg="No. 71" pbc="T T T"
Ru 2.855 0.887 0.995
Tc 9.600 2.981 0.042
Tc 5.723 1.777 1.983
Sc 8.565 2.660 2.985


(10)
26
Lattice="6.691 -0.001 -0.001 0.833 6.639 -0.001 2.735 2.413 8.459" Properties=species:S:1:pos:R:3 comment="Ca3Ta2O8 | the Alexandria database | GGA-PBE | relaxed" total_energy_ev_per_atom=-8.3641 crystal_system=monoclinic volume_a3_per_cell=375.8 sg="No. 15" pbc="T T T"
O 3.348 6.632 7.237
O 1.445 6.241 0.941
O 4.323 1.945 0.244
O 2.519 7.189 3.287
O 3.836 5.253 4.474
O 8.815 2.810 7.516
O 4.629 7.762 5.449
O 5.631 1.289 3.008
O 6.911 2.418 1.220
O 4.888 3.176 6.922
O 6.424 3.797 3.984
O 7.740 1.862 5.170
O 5.936 7.106 8.213
O 5.371 5.875 1.535
O 7.866 5.803 5.764
O 2.393 3.248 2.693
Ca 4.240 2.964 4.238
Ca 7.124 3.643 6.343
Ca 3.135 5.408 2.114
Ca 2.102 2.631 0.009
Ca 6.019 6.087 4.219
Ca 8.157 6.419 8.448
Ta 5.616 0.733 1.025
Ta 7.464 2.364 3.203
Ta 4.644 8.318 7.432
Ta 2.795 6.687 5.254


(11)
8
Lattice="3.858 0.000 0.000 0.000 3.858 0.000 1.929 1.929 6.327" Properties=species:S:1:pos:R:3 comment="NiP2H | the Alexandria database | GGA-PBE | relaxed" total_energy_ev_per_atom=-4.6527 crystal_system=tetragonal volume_a3_per_cell=94.2 sg="No. 122" pbc="T T T"
P 2.894 3.149 4.745
P 4.823 4.567 4.745
P 1.220 2.894 1.582
P 2.638 0.965 1.582
Ni 0.000 0.000 0.000
Ni 3.858 1.929 3.163
H 1.929 1.929 0.000
H 1.929 3.858 3.163


(12)
5
Lattice="5.294 0.000 0.000 0.000 6.182 0.000 0.000 0.000 5.294" Properties=species:S:1:pos:R:3 comment="TlPtI2Cl | the Alexandria database | GGA-PBE | relaxed" total_energy_ev_per_atom=-2.7467 crystal_system=tetragonal volume_a3_per_cell=173.3 sg="No. 123" pbc="T T T"
Pt 0.000 0.000 0.000
I 0.000 0.000 2.647
I 2.647 0.000 0.000
Cl 2.647 3.091 2.647
Tl 0.000 3.091 0.000


no.,total magnetic moment (μB/f.u.)
1,0.0
2,0.0
3,0.0
4,0.0
5,0.0
6,0.0
7,0.3
8,0.0
9,0.0
10,0.0
11,0.0
12,0.0